Record 1
DFT (PBE-GGA) results for a relaxed structure of Ba3PrTa2O9.

Calculated volume = 236.8 Å³/f.u.
DOS(E_F) = 3.354 states/eV per cell
Magnetic moment = 0.00 Bohr magnetons per cell
Calculated density = 7.42 g/cm³
DFT total energy = -123.4 eV/cell
E_form (uncorrected) = -286 kJ per mole of atoms

a = 6.030 Å, b = 6.030 Å, c = 7.522 Å
α = 90.00°, β = 90.00°, γ = 120.00°
Fractional positions:
Ba (0.000, 0.000, 0.000)
Ba (0.333, 0.667, 0.681)
Ba (0.667, 0.333, 0.319)
Pr (0.000, 0.000, 0.500)
Ta (0.333, 0.667, 0.159)
Ta (0.667, 0.333, 0.841)
O (0.000, 0.500, 0.000)
O (0.178, 0.356, 0.308)
O (0.178, 0.822, 0.308)
O (0.356, 0.178, 0.692)
O (0.500, 0.000, 0.000)
O (0.500, 0.500, 0.000)
O (0.644, 0.822, 0.308)
O (0.822, 0.178, 0.692)
O (0.822, 0.644, 0.692)


Record 2
DFT (PBE-GGA) results for a relaxed structure of NpAlCr2S6.

Calculated volume = 194.0 Å³/f.u.
DOS(E_F) = 7.368 states/eV per cell
Magnetic moment = 10.00 Bohr magnetons per cell
Calculated density = 4.80 g/cm³
DFT total energy = -69.5 eV/cell
E_form (uncorrected) = -85 kJ per mole of atoms

a = 6.747 Å, b = 6.747 Å, c = 6.747 Å
α = 55.41°, β = 55.41°, γ = 55.41°
Fractional positions:
Np (0.000, 0.000, 0.000)
Al (0.507, 0.507, 0.507)
Cr (0.195, 0.195, 0.195)
Cr (0.700, 0.700, 0.700)
S (0.102, 0.429, 0.790)
S (0.328, 0.911, 0.558)
S (0.429, 0.790, 0.102)
S (0.558, 0.328, 0.911)
S (0.790, 0.102, 0.429)
S (0.911, 0.558, 0.328)


Record 3
DFT (PBE-GGA) results for a relaxed structure of Ag2PtAu.

Energy of formation = -0.007 eV per atom
Calculated volume = 68.8 Å³/f.u.
DOS(E_F) = 1.034 states/eV per cell
Magnetic moment = 0.00 Bohr magnetons per cell
Calculated density = 14.68 g/cm³
DFT total energy = -15.0 eV/cell

a = 4.051 Å, b = 4.051 Å, c = 4.189 Å
α = 90.00°, β = 90.00°, γ = 90.00°
Fractional positions:
Ag (0.000, 0.500, 0.000)
Ag (0.500, 0.000, 0.000)
Pt (0.000, 0.000, 0.500)
Au (0.500, 0.500, 0.500)


Record 4
DFT (PBE-GGA) results for a relaxed structure of Zr3AsPd.

Energy of formation = 0.069 eV per atom
Calculated volume = 121.5 Å³/f.u.
DOS(E_F) = 3.774 states/eV per cell
Magnetic moment = 0.00 Bohr magnetons per cell
Calculated density = 6.22 g/cm³
DFT total energy = -35.1 eV/cell

a = 4.953 Å, b = 4.953 Å, c = 4.953 Å
α = 90.00°, β = 90.00°, γ = 90.00°
Fractional positions:
Zr (0.000, 0.000, 0.500)
Zr (0.000, 0.500, 0.000)
Zr (0.500, 0.000, 0.000)
As (0.000, 0.000, 0.000)
Pd (0.500, 0.500, 0.500)


Record 5
DFT (PBE-GGA) results for a relaxed structure of Pm7GaI12.

Calculated volume = 794.6 Å³/f.u.
DOS(E_F) = 12.729 states/eV per cell
Magnetic moment = 0.00 Bohr magnetons per cell
Calculated density = 5.45 g/cm³
DFT total energy = -80.1 eV/cell
E_form (uncorrected) = -122 kJ per mole of atoms

a = 9.930 Å, b = 9.930 Å, c = 9.930 Å
α = 107.90°, β = 107.90°, γ = 107.90°
Fractional positions:
Pm (0.000, 0.000, 0.000)
Pm (0.181, 0.393, 0.464)
Pm (0.393, 0.464, 0.181)
Pm (0.464, 0.181, 0.393)
Pm (0.536, 0.819, 0.607)
Pm (0.607, 0.536, 0.819)
Pm (0.819, 0.607, 0.536)
Ga (0.500, 0.500, 0.500)
I (0.028, 0.345, 0.108)
I (0.108, 0.028, 0.345)
I (0.188, 0.731, 0.578)
I (0.269, 0.422, 0.812)
I (0.345, 0.108, 0.028)
I (0.422, 0.812, 0.269)
I (0.578, 0.188, 0.731)
I (0.655, 0.892, 0.972)
I (0.731, 0.578, 0.188)
I (0.812, 0.269, 0.422)
I (0.892, 0.972, 0.655)
I (0.972, 0.655, 0.892)


Record 6
DFT (PBE-GGA) results for a relaxed structure of Pm4Sb2I5.

Calculated volume = 445.8 Å³/f.u.
DOS(E_F) = 11.284 states/eV per cell
Magnetic moment = 0.84 Bohr magnetons per cell
Calculated density = 5.43 g/cm³
DFT total energy = -41.1 eV/cell
E_form (uncorrected) = -54 kJ per mole of atoms

a = 13.709 Å, b = 13.709 Å, c = 13.709 Å
α = 163.42°, β = 142.61°, γ = 41.15°
Fractional positions:
Pm (0.122, 0.122, 0.000)
Pm (0.205, 0.500, 0.705)
Pm (0.795, 0.500, 0.295)
Pm (0.878, 0.878, 0.000)
Sb (0.240, 0.240, 0.000)
Sb (0.760, 0.760, 0.000)
I (0.157, 0.380, 0.777)
I (0.397, 0.620, 0.777)
I (0.500, 0.000, 0.500)
I (0.603, 0.380, 0.223)
I (0.843, 0.620, 0.223)


Record 7
DFT (PBE-GGA) results for a relaxed structure of SrMgIr2.

Energy of formation = 0.168 eV per atom
Calculated volume = 76.2 Å³/f.u.
DOS(E_F) = 2.190 states/eV per cell
Magnetic moment = 0.00 Bohr magnetons per cell
Calculated density = 10.82 g/cm³
DFT total energy = -20.3 eV/cell

a = 4.298 Å, b = 4.298 Å, c = 4.124 Å
α = 90.00°, β = 90.00°, γ = 90.00°
Fractional positions:
Sr (0.000, 0.000, 0.000)
Mg (0.500, 0.500, 0.000)
Ir (0.000, 0.500, 0.500)
Ir (0.500, 0.000, 0.500)


Record 8
DFT (PBE-GGA) results for a relaxed structure of CsY2AgS4.

Calculated volume = 207.8 Å³/f.u.
DOS(E_F) = 0.000 states/eV per cell
Magnetic moment = 0.00 Bohr magnetons per cell
Calculated density = 4.37 g/cm³
DFT total energy = -91.3 eV/cell
E_form (uncorrected) = -151 kJ per mole of atoms

a = 7.346 Å, b = 7.346 Å, c = 14.322 Å
α = 90.00°, β = 90.00°, γ = 147.46°
Fractional positions:
Cs (0.113, 0.887, 0.750)
Cs (0.887, 0.113, 0.250)
Y (0.368, 0.632, 0.563)
Y (0.368, 0.632, 0.937)
Y (0.632, 0.368, 0.063)
Y (0.632, 0.368, 0.437)
Ag (0.168, 0.832, 0.250)
Ag (0.832, 0.168, 0.750)
S (0.000, 0.000, 0.000)
S (0.000, 0.000, 0.500)
S (0.256, 0.744, 0.097)
S (0.256, 0.744, 0.403)
S (0.431, 0.569, 0.750)
S (0.569, 0.431, 0.250)
S (0.744, 0.256, 0.597)
S (0.744, 0.256, 0.903)


Record 9
DFT (PBE-GGA) results for a relaxed structure of Cd7Ag12Hg.

Energy of formation = 0.065 eV per atom
Calculated volume = 416.3 Å³/f.u.
DOS(E_F) = 4.817 states/eV per cell
Magnetic moment = 0.00 Bohr magnetons per cell
Calculated density = 9.10 g/cm³
DFT total energy = -39.6 eV/cell

a = 8.301 Å, b = 8.301 Å, c = 8.301 Å
α = 110.85°, β = 110.85°, γ = 110.85°
Fractional positions:
Cd (0.000, 0.000, 0.000)
Cd (0.069, 0.405, 0.355)
Cd (0.355, 0.069, 0.405)
Cd (0.405, 0.355, 0.069)
Cd (0.595, 0.645, 0.931)
Cd (0.645, 0.931, 0.595)
Cd (0.931, 0.595, 0.645)
Ag (0.009, 0.327, 0.963)
Ag (0.037, 0.991, 0.673)
Ag (0.153, 0.393, 0.718)
Ag (0.282, 0.847, 0.607)
Ag (0.327, 0.963, 0.009)
Ag (0.393, 0.718, 0.153)
Ag (0.607, 0.282, 0.847)
Ag (0.673, 0.037, 0.991)
Ag (0.718, 0.153, 0.393)
Ag (0.847, 0.607, 0.282)
Ag (0.963, 0.009, 0.327)
Ag (0.991, 0.673, 0.037)
Hg (0.500, 0.500, 0.500)


Record 10
DFT (PBE-GGA) results for a relaxed structure of DyTeAs.

Calculated volume = 76.4 Å³/f.u.
DOS(E_F) = 3.679 states/eV per cell
Magnetic moment = 0.00 Bohr magnetons per cell
Calculated density = 7.94 g/cm³
DFT total energy = -63.3 eV/cell
E_form (uncorrected) = -111 kJ per mole of atoms

a = 18.245 Å, b = 4.076 Å, c = 4.107 Å
α = 90.00°, β = 90.00°, γ = 90.00°
Fractional positions:
Dy (0.129, 0.250, 0.229)
Dy (0.371, 0.750, 0.729)
Dy (0.629, 0.250, 0.271)
Dy (0.871, 0.750, 0.771)
Te (0.188, 0.750, 0.730)
Te (0.312, 0.250, 0.230)
Te (0.688, 0.750, 0.770)
Te (0.812, 0.250, 0.270)
As (0.002, 0.250, 0.706)
As (0.498, 0.750, 0.206)
As (0.502, 0.250, 0.794)
As (0.998, 0.750, 0.294)


Record 11
DFT (PBE-GGA) results for a relaxed structure of BaBiAs2.

Energy of formation = -0.458 eV per atom
Calculated volume = 130.0 Å³/f.u.
DOS(E_F) = 3.234 states/eV per cell
Magnetic moment = 0.00 Bohr magnetons per cell
Calculated density = 6.34 g/cm³
DFT total energy = -33.9 eV/cell

a = 4.686 Å, b = 4.686 Å, c = 11.843 Å
α = 91.37°, β = 91.37°, γ = 89.64°
Fractional positions:
Ba (0.122, 0.878, 0.500)
Ba (0.878, 0.122, 0.000)
Bi (0.365, 0.596, 0.785)
Bi (0.596, 0.365, 0.285)
As (0.251, 0.870, 0.229)
As (0.388, 0.619, 0.042)
As (0.619, 0.388, 0.542)
As (0.870, 0.251, 0.729)


Record 12
DFT (PBE-GGA) results for a relaxed structure of La2Mg2Pt.

Energy of formation = -0.338 eV per atom
Calculated volume = 129.5 Å³/f.u.
DOS(E_F) = 1.891 states/eV per cell
Magnetic moment = 0.00 Bohr magnetons per cell
Calculated density = 6.69 g/cm³
DFT total energy = -41.5 eV/cell

a = 6.930 Å, b = 6.930 Å, c = 5.394 Å
α = 90.00°, β = 90.00°, γ = 90.00°
Fractional positions:
La (0.170, 0.330, 0.000)
La (0.330, 0.830, 0.000)
La (0.670, 0.170, 0.000)
La (0.830, 0.670, 0.000)
Mg (0.149, 0.649, 0.500)
Mg (0.351, 0.149, 0.500)
Mg (0.649, 0.851, 0.500)
Mg (0.851, 0.351, 0.500)
Pt (0.000, 0.000, 0.500)
Pt (0.500, 0.500, 0.500)


Record 13
DFT (PBE-GGA) results for a relaxed structure of HoErLu2.

Energy of formation = 0.030 eV per atom
Calculated volume = 119.3 Å³/f.u.
DOS(E_F) = 5.404 states/eV per cell
Magnetic moment = 0.00 Bohr magnetons per cell
Calculated density = 9.50 g/cm³
DFT total energy = -18.1 eV/cell

a = 3.482 Å, b = 3.482 Å, c = 9.838 Å
α = 90.00°, β = 90.00°, γ = 90.00°
Fractional positions:
Ho (0.000, 0.000, 0.000)
Er (0.000, 0.000, 0.500)
Lu (0.500, 0.500, 0.250)
Lu (0.500, 0.500, 0.750)


Record 14
DFT (PBE-GGA) results for a relaxed structure of Cs3RbS2.

Calculated volume = 256.8 Å³/f.u.
DOS(E_F) = 0.000 states/eV per cell
Magnetic moment = 0.00 Bohr magnetons per cell
Calculated density = 3.55 g/cm³
DFT total energy = -35.2 eV/cell
E_form (uncorrected) = -93 kJ per mole of atoms

a = 10.150 Å, b = 10.150 Å, c = 10.150 Å
α = 134.07°, β = 65.44°, γ = 136.07°
Fractional positions:
Cs (0.188, 0.702, 0.890)
Cs (0.250, 0.250, 0.000)
Cs (0.312, 0.202, 0.513)
Cs (0.688, 0.798, 0.487)
Cs (0.750, 0.750, 0.000)
Cs (0.812, 0.298, 0.110)
Rb (0.250, 0.750, 0.500)
Rb (0.750, 0.250, 0.500)
S (0.118, 0.268, 0.386)
S (0.382, 0.768, 0.151)
S (0.618, 0.232, 0.849)
S (0.882, 0.732, 0.614)


Record 15
DFT (PBE-GGA) results for a relaxed structure of ErTh2Bi4.

Energy of formation = -0.611 eV per atom
Calculated volume = 220.5 Å³/f.u.
DOS(E_F) = 7.420 states/eV per cell
Magnetic moment = 0.00 Bohr magnetons per cell
Calculated density = 11.05 g/cm³
DFT total energy = -78.4 eV/cell

a = 8.306 Å, b = 8.306 Å, c = 8.306 Å
α = 109.95°, β = 109.95°, γ = 108.52°
Fractional positions:
Er (0.000, 0.000, 0.000)
Er (0.750, 0.250, 0.500)
Th (0.255, 0.125, 0.630)
Th (0.375, 0.745, 0.870)
Th (0.495, 0.625, 0.370)
Th (0.875, 0.505, 0.130)
Bi (0.115, 0.372, 0.902)
Bi (0.122, 0.365, 0.402)
Bi (0.280, 0.878, 0.243)
Bi (0.470, 0.214, 0.098)
Bi (0.628, 0.530, 0.743)
Bi (0.635, 0.036, 0.757)
Bi (0.786, 0.885, 0.257)
Bi (0.964, 0.720, 0.598)


Record 16
DFT (PBE-GGA) results for a relaxed structure of AgPd4Au.

Energy of formation = 0.107 eV per atom
Calculated volume = 102.2 Å³/f.u.
DOS(E_F) = 5.571 states/eV per cell
Magnetic moment = 0.00 Bohr magnetons per cell
Calculated density = 11.86 g/cm³
DFT total energy = -26.3 eV/cell

a = 5.249 Å, b = 5.249 Å, c = 5.249 Å
α = 60.00°, β = 60.00°, γ = 60.00°
Fractional positions:
Ag (0.000, 0.000, 0.000)
Pd (0.125, 0.625, 0.625)
Pd (0.625, 0.125, 0.625)
Pd (0.625, 0.625, 0.125)
Pd (0.625, 0.625, 0.625)
Au (0.250, 0.250, 0.250)


Record 17
DFT (PBE-GGA) results for a relaxed structure of NaPrAu.

Energy of formation = -0.233 eV per atom
Calculated volume = 77.8 Å³/f.u.
DOS(E_F) = 3.018 states/eV per cell
Magnetic moment = 0.32 Bohr magnetons per cell
Calculated density = 7.71 g/cm³
DFT total energy = -10.1 eV/cell

a = 4.975 Å, b = 4.975 Å, c = 3.629 Å
α = 90.00°, β = 90.00°, γ = 120.00°
Fractional positions:
Na (0.000, 0.000, 0.000)
Pr (0.667, 0.333, 0.500)
Au (0.333, 0.667, 0.000)


Record 18
DFT (PBE-GGA) results for a relaxed structure of Mn2CrCl.

Calculated volume = 61.1 Å³/f.u.
DOS(E_F) = 2.763 states/eV per cell
Magnetic moment = 3.71 Bohr magnetons per cell
Calculated density = 5.36 g/cm³
DFT total energy = -27.7 eV/cell
E_form (uncorrected) = 51 kJ per mole of atoms

a = 2.981 Å, b = 4.426 Å, c = 4.631 Å
α = 90.00°, β = 90.00°, γ = 90.00°
Fractional positions:
Mn (0.000, 0.000, 0.000)
Mn (0.500, 0.000, 0.500)
Cr (0.000, 0.500, 0.500)
Cl (0.500, 0.500, 0.000)


Record 19
DFT (PBE-GGA) results for a relaxed structure of RbTbMg2Br8.

Calculated volume = 436.5 Å³/f.u.
DOS(E_F) = 0.000 states/eV per cell
Magnetic moment = 0.00 Bohr magnetons per cell
Calculated density = 3.55 g/cm³
DFT total energy = -41.3 eV/cell
E_form (uncorrected) = -154 kJ per mole of atoms

a = 6.961 Å, b = 6.993 Å, c = 9.650 Å
α = 76.23°, β = 77.44°, γ = 76.13°
Fractional positions:
Rb (0.000, 0.000, 0.000)
Tb (0.000, 0.000, 0.500)
Mg (0.456, 0.448, 0.212)
Mg (0.544, 0.552, 0.788)
Br (0.185, 0.725, 0.725)
Br (0.246, 0.788, 0.288)
Br (0.282, 0.244, 0.455)
Br (0.358, 0.312, 0.020)
Br (0.642, 0.688, 0.980)
Br (0.718, 0.756, 0.545)
Br (0.754, 0.212, 0.712)
Br (0.815, 0.275, 0.275)


Record 20
DFT (PBE-GGA) results for a relaxed structure of HoSi3TcNi.

Calculated volume = 109.3 Å³/f.u.
DOS(E_F) = 1.690 states/eV per cell
Magnetic moment = 0.00 Bohr magnetons per cell
Calculated density = 6.16 g/cm³
DFT total energy = -77.7 eV/cell
E_form (uncorrected) = -30 kJ per mole of atoms

a = 6.618 Å, b = 6.618 Å, c = 5.391 Å
α = 90.00°, β = 90.00°, γ = 112.13°
Fractional positions:
Ho (0.227, 0.773, 0.750)
Ho (0.773, 0.227, 0.250)
Si (0.254, 0.254, 0.000)
Si (0.254, 0.254, 0.500)
Si (0.274, 0.726, 0.250)
Si (0.726, 0.274, 0.750)
Si (0.746, 0.746, 0.000)
Si (0.746, 0.746, 0.500)
Tc (0.069, 0.931, 0.250)
Tc (0.931, 0.069, 0.750)
Ni (0.465, 0.535, 0.250)
Ni (0.535, 0.465, 0.750)